No. 1
ScV2Se after structural relaxation, computed with PBE.

Calculated values
The formation energy from raw total energies is 0.12 eV/atom. Its total energy is -0.5067 Ry per atom. For the total magnetic moment, the calculation gives 0.0 μB/cell.

Cell lengths 7.555, 7.555, 5.088 Å; angles 90.00, 90.00, 90.00 degrees
Space group I-42d (No. 122)
Unique sites:
Sc 0.000 0.000 0.000 [4 per cell]
V 0.182 0.250 0.625 [8 per cell]
Se 0.000 0.000 0.500 [4 per cell]

No. 2
Sc3VSe after structural relaxation, computed with PBE.

Calculated values
For the energy above the most stable polymorph in this dataset, the calculation gives 0.00 eV per formula unit. The formation energy from raw total energies is -0.02 eV/atom. Its total energy is -0.4659 Ry per atom. For the total magnetic moment, the calculation gives 2.6 μB/cell.

Cell lengths 4.987, 4.987, 4.987 Å; angles 90.00, 90.00, 90.00 degrees
Space group Pm-3m (No. 221)
Unique sites:
Sc 0.000 0.000 0.500 [3 per cell]
V 0.500 0.500 0.500 [1 per cell]
Se 0.000 0.000 0.000 [1 per cell]

No. 3
Sc3VSe after structural relaxation, computed with PBE.

Calculated values
For the energy above the most stable polymorph in this dataset, the calculation gives 1.70 eV per formula unit. The formation energy from raw total energies is 0.32 eV/atom. Its total energy is -0.4410 Ry per atom. For the total magnetic moment, the calculation gives 0.0 μB/cell.

Cell lengths 4.905, 4.905, 4.905 Å; angles 90.00, 90.00, 90.00 degrees
Space group Pm-3m (No. 221)
Unique sites:
Sc 0.000 0.000 0.500 [3 per cell]
V 0.000 0.000 0.000 [1 per cell]
Se 0.500 0.500 0.500 [1 per cell]

No. 4
ScVSe3 after structural relaxation, computed with PBE.

Calculated values
For the energy above the most stable polymorph in this dataset, the calculation gives 0.00 eV per formula unit. The formation energy from raw total energies is -0.42 eV/atom. Its total energy is -0.4116 Ry per atom. For the total magnetic moment, the calculation gives 2.0 μB/cell.

Cell lengths 4.850, 4.850, 4.850 Å; angles 90.00, 90.00, 90.00 degrees
Space group Pm-3m (No. 221)
Unique sites:
Sc 0.000 0.000 0.000 [1 per cell]
V 0.500 0.500 0.500 [1 per cell]
Se 0.000 0.500 0.500 [3 per cell]

No. 5
Sc2WSe after structural relaxation, computed with PBE.

Calculated values
The formation energy from raw total energies is -0.20 eV/atom. Its total energy is -0.5495 Ry per atom. For the total magnetic moment, the calculation gives 0.0 μB/cell.

Cell lengths 3.305, 4.499, 10.775 Å; angles 90.00, 90.00, 90.00 degrees
Space group Imm2 (No. 44)
Unique sites:
Sc 0.000 0.000 0.000 [2 per cell]
Sc 0.000 0.500 0.230 [2 per cell]
W 0.000 0.000 0.500 [2 per cell]
Se 0.000 0.500 0.814 [2 per cell]

No. 6
Sc2WSe after structural relaxation, computed with PBE.

Calculated values
The formation energy from raw total energies is -0.06 eV/atom. Its total energy is -0.5391 Ry per atom. For the total magnetic moment, the calculation gives 0.0 μB/cell.

Cell lengths 8.901, 3.428, 5.097 Å; angles 90.00, 105.54, 90.00 degrees
Space group C2/m (No. 12)
Unique sites:
Sc 0.239 0.000 0.238 [4 per cell]
W 0.000 0.000 0.500 [2 per cell]
Se 0.000 0.500 0.000 [2 per cell]

No. 7
Sc2WSe after structural relaxation, computed with PBE.

Calculated values
The formation energy from raw total energies is 0.09 eV/atom. Its total energy is -0.5281 Ry per atom. For the total magnetic moment, the calculation gives 0.0 μB/cell.

Cell lengths 3.2506, 3.2506, 26.8921 Å; angles 90.00, 90.00, 120.00 degrees
Space group R-3m (No. 166, hexagonal axes)
Unique sites:
Sc 0.0000 0.0000 0.0977 [6 per cell]
W 0.0000 0.0000 0.0000 [3 per cell]
Se 0.0000 0.0000 0.5000 [3 per cell]

No. 8
Sc2WSe after structural relaxation, computed with PBE.

Calculated values
The formation energy from raw total energies is -0.43 eV/atom. Its total energy is -0.5661 Ry per atom. For the total magnetic moment, the calculation gives 0.0 μB/cell.

Cell lengths 3.437, 3.437, 6.322 Å; angles 90.00, 90.00, 90.00 degrees
Space group P4/mmm (No. 123)
Unique sites:
Sc 0.000 0.000 0.247 [2 per cell]
W 0.500 0.500 0.000 [1 per cell]
Se 0.500 0.500 0.500 [1 per cell]

No. 9
Sc2WSe after structural relaxation, computed with PBE.

Calculated values
The formation energy from raw total energies is -0.03 eV/atom. Its total energy is -0.5371 Ry per atom. For the total magnetic moment, the calculation gives 0.0 μB/cell.

Cell lengths 3.483, 4.063, 5.724 Å; angles 90.00, 90.00, 90.00 degrees
Space group Pmm2 (No. 25)
Unique sites:
Sc 0.000 0.000 0.000 [1 per cell]
Sc 0.500 0.500 0.336 [1 per cell]
W 0.500 0.500 0.866 [1 per cell]
Se 0.000 0.000 0.493 [1 per cell]

No. 10
ScW4Se after structural relaxation, computed with PBE.

Calculated values
The formation energy from raw total energies is 0.49 eV/atom. Its total energy is -0.7186 Ry per atom. For the total magnetic moment, the calculation gives 0.0 μB/cell.

Cell lengths 7.609, 7.609, 7.609 Å; angles 90.00, 90.00, 90.00 degrees
Space group F-43m (No. 216)
Unique sites:
Sc 0.000 0.000 0.000 [4 per cell]
W 0.125 0.125 0.375 [16 per cell]
Se 0.250 0.250 0.750 [4 per cell]

No. 11
Sc2WSe after structural relaxation, computed with PBE.

Calculated values
The formation energy from raw total energies is 0.26 eV/atom. Its total energy is -0.5155 Ry per atom. For the total magnetic moment, the calculation gives 2.6 μB/cell.

Cell lengths 6.652, 6.652, 6.652 Å; angles 90.00, 90.00, 90.00 degrees
Space group F-43m (No. 216)
Unique sites:
Sc 0.000 0.000 0.000 [4 per cell]
Sc 0.250 0.250 0.250 [4 per cell]
W 0.000 0.000 0.500 [4 per cell]
Se 0.250 0.250 0.750 [4 per cell]

No. 12
ScW4Se8 after structural relaxation, computed with PBE.

Calculated values
The formation energy from raw total energies is -0.30 eV/atom. Its total energy is -0.5082 Ry per atom. For the total magnetic moment, the calculation gives 0.0 μB/cell.

Cell lengths 6.8116, 6.8116, 20.5213 Å; angles 90.00, 90.00, 120.00 degrees
Space group R-3m (No. 166, hexagonal axes)
Unique sites:
Sc 0.0000 0.0000 0.0000 [3 per cell]
W 0.0000 0.0000 0.5000 [3 per cell]
W 0.0000 0.5000 0.5000 [9 per cell]
Se 0.0000 0.0000 0.2481 [6 per cell]
Se 0.0076 0.5038 0.2491 [18 per cell]